! GGA-PBE Na6AgSn2, relaxed; values from VASP
&SYSTEM
  ibrav = 0, nat = 9, ntyp = 3
/
ATOMIC_SPECIES
Na 22.99 Na.upf
Ag 107.87 Ag.upf
Sn 118.71 Sn.upf
CELL_PARAMETERS angstrom
2.7196 1.5701 10.2367
-2.7196 1.5701 10.2367
0.0000 -3.1403 10.2367
ATOMIC_POSITIONS crystal
Na 0.0776 0.0776 0.0776
Na 0.2003 0.2003 0.2003
Na 0.3075 0.3075 0.3075
Na 0.6925 0.6925 0.6925
Na 0.7997 0.7997 0.7997
Na 0.9224 0.9224 0.9224
Ag 0.5000 0.5000 0.5000
Sn 0.4118 0.4118 0.4118
Sn 0.5882 0.5882 0.5882
! - Energy of formation from the pure elements: -0.15 eV/atom


! GGA-PBE LiYAsBr2, relaxed; values from VASP
&SYSTEM
  ibrav = 0, nat = 5, ntyp = 4
/
ATOMIC_SPECIES
Li 6.94 Li.upf
Y 88.91 Y.upf
As 74.92 As.upf
Br 79.90 Br.upf
CELL_PARAMETERS angstrom
5.5952 0.0000 0.0000
0.0000 5.5952 0.0000
0.0000 0.0000 5.6195
ATOMIC_POSITIONS crystal
Li 0.0000 0.0000 0.0000
Y 0.5000 0.5000 0.5000
As 0.5000 0.5000 0.0000
Br 0.0000 0.5000 0.5000
Br 0.5000 0.0000 0.5000
! - Offset from the most stable computed form: 0.00 eV/f.u.
! - Formation energy from raw total energies: -841 meV/atom


! GGA-PBE DyHgRh, relaxed; values from VASP
&SYSTEM
  ibrav = 0, nat = 6, ntyp = 3
/
ATOMIC_SPECIES
Dy 162.50 Dy.upf
Hg 200.59 Hg.upf
Rh 102.91 Rh.upf
CELL_PARAMETERS angstrom
5.6625 0.0000 0.0000
0.0000 3.3573 0.0000
-2.3875 0.0000 7.0443
ATOMIC_POSITIONS crystal
Dy 0.1023 0.0000 0.2428
Dy 0.8977 0.0000 0.7572
Hg 0.3452 0.5000 0.6456
Hg 0.6548 0.5000 0.3544
Rh 0.2635 0.5000 0.0005
Rh 0.7365 0.5000 0.9995
! - Energy of formation from the pure elements: -0.50 eV/atom